[1]
! SbAuBr2 SCAN PBEsol geometry; values from VASP
&SYSTEM
  ibrav = 0, nat = 4, ntyp = 3
/
ATOMIC_SPECIES
Br 79.90 Br.upf
Sb 121.76 Sb.upf
Au 196.97 Au.upf
ATOMIC_POSITIONS angstrom
Br 2.288 -1.038 -0.154
Sb -0.734 -1.646 0.197
Br 4.321 -4.091 -1.408
Au 0.622 -0.524 -2.057
CELL_PARAMETERS angstrom
-1.467 -3.292 0.394
1.244 -1.047 -4.114
6.832 -0.790 2.157
! total energy = -36.363 eV per atom
! calculated volume = 27.967 Å³ per atom

[2]
! SbAuBr2 SCAN PBEsol geometry; values from VASP
&SYSTEM
  ibrav = 0, nat = 4, ntyp = 3
/
ATOMIC_SPECIES
Br 79.90 Br.upf
Sb 121.76 Sb.upf
Au 196.97 Au.upf
ATOMIC_POSITIONS angstrom
Br 1.787 1.032 1.876
Sb 3.573 2.063 4.318
Br 5.360 3.095 6.759
Au 0.000 0.000 0.000
CELL_PARAMETERS angstrom
3.573 0.000 0.000
1.787 3.095 0.000
1.787 1.032 8.636
! total energy = -36.082 eV per atom
! calculated volume = 23.873 Å³ per atom

[3]
! SbAu2Br SCAN PBEsol geometry; values from VASP
&SYSTEM
  ibrav = 0, nat = 4, ntyp = 3
/
ATOMIC_SPECIES
Au 196.97 Au.upf
Br 79.90 Br.upf
Sb 121.76 Sb.upf
ATOMIC_POSITIONS angstrom
Au 0.000 3.300 -0.184
Br 0.000 1.763 3.318
Sb 1.808 0.173 5.912
Au 1.808 1.627 1.319
CELL_PARAMETERS angstrom
3.615 0.000 0.000
0.000 3.517 -0.234
0.000 -1.287 7.300
! total energy = -48.807 eV per atom
! calculated volume = 22.935 Å³ per atom